DFT (PBE) results for crystalline ZnSb at its relaxed geometry.

```
ZnSb
1.0
-2.6836 -9.0906 -1.0860
2.3714 1.0712 5.9941
-4.5337 1.1486 1.5884
Sb Zn
6 6
Cartesian
-1.6355 -6.7434 0.2083
0.9371 -2.2579 4.3077
-1.3042 0.0107 3.9496
-0.3301 -2.4337 0.8176
-2.6088 -4.2983 3.3416
-1.5047 -3.4034 5.8460
-2.3953 -0.7127 1.3582
-0.2993 -7.8214 4.8015
1.4033 0.6279 3.5513
-2.9526 -6.9306 4.2639
-0.5447 -6.0195 2.7981
-4.3429 -7.3605 0.6064
```

## Properties
SG: P2_1/m, No. 11
Crystal system: monoclinic
Uncorrected energy in eV per atom: -2.6162

---

DFT (PBE) results for crystalline CsZrAgSe3 at its relaxed geometry.

```
CsZrAgSe3
1.0
8.0851 0.0000 0.0000
0.0000 4.8650 0.0000
0.0000 0.0000 16.5790
Se Cs Ag Zr
12 4 4 4
Cartesian
4.2397 1.2162 9.5867
3.1138 3.6487 16.4040
0.1971 1.2162 15.2818
0.9287 1.2162 8.1145
3.8454 3.6487 6.9923
5.7320 3.6487 13.3822
6.3956 1.2162 5.0927
7.8880 3.6487 1.2972
2.3530 1.2162 3.1968
7.1563 3.6487 8.4646
4.9713 1.2162 0.1751
1.6895 3.6487 11.4863
4.8158 3.6487 3.1597
3.2693 1.2162 13.4193
0.7732 3.6487 5.1298
7.3118 1.2162 11.4492
4.3960 3.6487 10.8457
3.6891 1.2162 5.7333
7.7316 1.2162 2.5562
0.3534 3.6487 14.0228
6.1882 1.2162 7.6469
2.1456 1.2162 0.6426
5.9394 3.6487 15.9365
1.8969 3.6487 8.9321
```

## Properties
Energy above the most stable polymorph in this dataset in meV/atom: 191
Magnetic moment in μB per formula unit: 0.0
SG: Pnma, No. 62
Crystal system: orthorhombic
Uncorrected energy in eV per atom: -4.6841

---

DFT (PBE) results for crystalline Dy2Al3Tc at its relaxed geometry.

```
Dy2Al3Tc
1.0
5.5126 0.0000 0.0000
-2.7563 4.7741 0.0000
0.0000 0.0000 8.9195
Dy Al Tc
4 6 2
Cartesian
2.7563 1.5914 0.4629
2.7563 1.5914 3.9969
0.0000 3.1827 8.4566
0.0000 3.1827 4.9226
1.4149 3.9996 2.2299
1.3414 0.7745 6.6896
-1.4149 3.9996 2.2299
0.0000 1.5489 2.2299
2.7563 3.2252 6.6896
4.1712 0.7745 6.6896
0.0000 0.0000 4.4597
0.0000 0.0000 0.0000
```

## Properties
Magnetic moment in μB per formula unit: 0.0
SG: P6_3/mmc, No. 194
Crystal system: hexagonal
Uncorrected energy in eV per atom: -5.6455

---

DFT (PBE) results for crystalline BaHg2Bi2 at its relaxed geometry.

```
BaHg2Bi2
1.0
3.7143 -3.7143 0.0000
3.7143 3.7143 0.0000
-3.7143 0.0000 6.0499
Hg Bi Ba
2 2 1
Cartesian
0.0000 0.0000 4.6767
3.7143 0.0000 1.3732
1.8572 -1.8572 3.0249
1.8572 1.8572 3.0249
0.0000 0.0000 0.0000
```

## Properties
Energy above the most stable polymorph in this dataset in meV/atom: 42
SG: I4/mmm, No. 139
Crystal system: tetragonal
Uncorrected energy in eV per atom: -2.4988

---

DFT (PBE) results for crystalline Cs2CdInCl6 at its relaxed geometry.

```
Cs2CdInCl6
1.0
-2.3125 -5.1626 5.0449
-0.5609 -5.1446 -5.5217
12.5131 2.2394 -3.3576
In Cl Cs Cd
2 12 4 2
Cartesian
5.1003 -1.4616 0.8437
-1.4367 -5.1536 -0.2384
4.1805 -6.5240 -2.0120
2.5184 -0.7887 0.4517
8.4974 -2.2142 -3.9589
5.4591 -1.5438 -1.8224
1.1422 -5.8536 0.1245
11.5021 -2.7932 -6.2511
11.7279 -0.3118 -3.3807
7.1212 -7.2791 -4.2860
-1.8624 -5.2746 2.4167
4.4042 -4.0618 0.8379
5.2354 -4.0060 -4.6722
-2.0882 -7.7560 -0.4537
8.2515 -4.7370 -6.7594
1.3882 -3.3309 2.9250
7.3683 -4.7464 -1.4749
2.2714 -3.3214 -2.3595
0.0000 0.0000 0.0000
5.9761 -1.4526 -4.4396
```

## Properties
SG: P2_1/c, No. 14
Crystal system: monoclinic
Uncorrected energy in eV per atom: -3.0807

---

DFT (PBE) results for crystalline HoHfTlC at its relaxed geometry.

```
HoHfTlC
1.0
-2.0491 -1.1522 2.5160
1.8581 -2.2228 -1.8610
11.7491 1.3085 10.1680
Ho Tl C Hf
2 2 2 2
Cartesian
5.4272 -1.3234 3.8140
9.9994 -0.3123 10.3569
2.1220 -1.1896 3.5396
9.2989 -0.8922 7.1646
6.0019 0.6684 5.1942
0.1274 0.0142 0.1102
6.0721 -0.7497 6.9582
1.5000 -1.7608 0.4152
```

## Properties
Energy above the most stable polymorph in this dataset in meV/atom: 1
Magnetic moment in μB per formula unit: 0.0
SG: P6_3mc, No. 186
Crystal system: hexagonal
Uncorrected energy in eV per atom: -7.0293

---

DFT (PBE) results for crystalline BaNb2Co at its relaxed geometry.

```
BaNb2Co
1.0
0.0000 3.4309 3.4309
3.4309 0.0000 3.4309
3.4309 3.4309 0.0000
Co Ba Nb
1 1 2
Cartesian
1.7154 1.7154 1.7154
3.4309 3.4309 3.4309
0.0000 0.0000 0.0000
5.1464 5.1464 5.1464
```

## Properties
Magnetic moment in μB per formula unit: 1.5
SG: F-43m, No. 216
Crystal system: cubic
Uncorrected energy in eV per atom: -6.2829

---

DFT (PBE) results for crystalline GdYSi2Ni2 at its relaxed geometry.

```
GdYSi2Ni2
1.0
4.0786 0.0000 0.0000
0.0000 4.0786 0.0000
0.0000 0.0000 6.4540
Si Y Ni Gd
2 1 2 1
Cartesian
2.0393 2.0393 1.2379
0.0000 0.0000 5.1996
2.0393 2.0393 4.4094
0.0000 2.0393 6.4519
2.0393 0.0000 6.4519
0.0000 0.0000 2.0665
```

## Properties
Magnetic moment in μB per formula unit: 0.1
SG: P4mm, No. 99
Crystal system: tetragonal
Uncorrected energy in eV per atom: -6.2981

---

DFT (PBE) results for crystalline KTcAgSe3 at its relaxed geometry.

```
KTcAgSe3
1.0
-1.8505 5.8627 5.6205
0.8495 -2.4658 2.8517
9.6080 0.3949 -2.5206
K Se Ag Tc
2 6 2 2
Cartesian
1.5143 3.8540 4.1905
7.0927 -0.0621 1.7611
1.0610 0.4006 3.9579
0.0741 3.8330 7.2197
8.5328 -0.0411 -1.2681
4.7617 2.9428 5.0537
7.5460 3.3913 1.9937
3.8453 0.8491 0.8980
5.0220 2.9525 2.3662
3.5850 0.8394 3.5854
1.3226 0.5037 1.3507
7.2843 3.2882 4.6009
```

## Properties
Energy above the most stable polymorph in this dataset in meV/atom: 45
Magnetic moment in μB per formula unit: 2.6
SG: P2_1/m, No. 11
Crystal system: monoclinic
Uncorrected energy in eV per atom: -4.5266

---

DFT (PBE) results for crystalline ZnCuSiAu at its relaxed geometry.

```
ZnCuSiAu
1.0
-4.0872 0.1181 1.6098
-2.4743 3.5901 -0.5476
-3.4410 -0.0987 -2.7314
Au Zn Cu Si
1 1 1 1
Cartesian
-2.5006 0.9024 -0.4173
-5.0012 1.8048 -0.8346
-7.5019 2.7071 -1.2519
0.0000 0.0000 0.0000
```

## Properties
Energy above the most stable polymorph in this dataset in meV/atom: 0
SG: F-43m, No. 216
Crystal system: cubic
Uncorrected energy in eV per atom: -3.2904

---

DFT (PBE) results for crystalline CsHfAu3O4 at its relaxed geometry.

```
CsHfAu3O4
1.0
5.7911 0.0000 0.0000
0.0000 5.7911 0.0000
0.0000 0.0000 5.7911
O Au Hf Cs
4 3 1 1
Cartesian
4.0514 1.7397 4.0514
4.0514 4.0514 1.7397
1.7397 1.7397 1.7397
1.7397 4.0514 4.0514
2.8955 0.0000 2.8955
0.0000 2.8955 2.8955
2.8955 2.8955 0.0000
2.8955 2.8955 2.8955
0.0000 0.0000 0.0000
```

## Properties
Magnetic moment in μB per formula unit: 0.0
SG: P-43m, No. 215
Crystal system: cubic
Uncorrected energy in eV per atom: -5.4163

---

DFT (PBE) results for crystalline LaPrBr2NCl at its relaxed geometry.

```
LaPrBr2NCl
1.0
9.0994 -2.0462 0.0000
9.0994 2.0462 0.0000
-6.3567 0.0000 9.7274
Pr Cl La Br N
2 2 2 4 2
Cartesian
4.1925 0.0000 5.2802
7.6497 0.0000 4.4473
12.1853 0.0000 0.0539
-0.3432 0.0000 9.6735
-2.5346 0.0000 7.7157
14.3767 0.0000 2.0117
-0.7668 0.0000 2.3498
12.6090 0.0000 7.3776
0.0864 0.0000 6.0512
11.7557 0.0000 3.6762
5.5543 0.0000 3.3483
6.2878 0.0000 6.3791
```

## Properties
Magnetic moment in μB per formula unit: 0.0
SG: C2/m, No. 12
Crystal system: monoclinic
Uncorrected energy in eV per atom: -5.8138